(1)
This record from Alexandria describes crystalline LiZnPt2 at its relaxed geometry. The functional is GGA-PBEsol.

Cell: 2.757 4.494 5.016 Å, 112.07 105.95 90.00°
Positions (direct):
Zn (0.492, 0.410, 0.984)
Pt (0.749, 0.341, 0.498)
Pt (0.004, 0.914, 0.008)
Li (0.255, 0.836, 0.510)

Results
As for the space-group type: Cm (8). As for the formation energy: -0.51 eV/atom.



(2)
This record from Alexandria describes crystalline LiSeSN2 at its relaxed geometry. The functional is GGA-PBEsol.

Cell: 3.367 3.367 6.043 Å, 90.00 90.00 90.00°
Positions (direct):
N (0.500, 0.000, 0.000)
N (0.000, 0.500, 0.000)
Se (0.000, 0.000, 0.500)
Li (0.500, 0.500, 0.500)
S (0.000, 0.000, 0.000)

Results
As for the space-group type: P4/mmm (123). For the energy relative to the elements, uncorrected, the calculation gives 955.6 meV per atom.



(3)
This record from Alexandria describes crystalline BaYCd2 at its relaxed geometry. The functional is GGA-PBEsol.

Cell: 3.754 5.600 5.600 Å, 90.06 90.00 90.00°
Positions (direct):
Cd (0.000, 0.000, 0.500)
Cd (0.000, 0.500, 0.000)
Ba (0.500, 0.500, 0.500)
Y (0.500, 0.000, 0.000)

Results
As for the space-group type: Cmmm (65). As for the formation energy: -0.23 eV/atom. The calculation puts the energy above the lowest structure with this stoichiometry at 86 meV/atom.



(4)
This record from Alexandria describes crystalline Si2SnGePt at its relaxed geometry. The functional is GGA-PBEsol.

Cell: 4.546 4.546 5.561 Å, 90.00 90.00 90.00°
Positions (direct):
Si (0.500, 0.000, 0.000)
Si (0.000, 0.500, 0.000)
Pt (0.000, 0.000, 0.000)
Ge (0.500, 0.500, 0.500)
Sn (0.000, 0.000, 0.500)

Results
As for the space-group type: P4/mmm (123). For the energy relative to the elements, uncorrected, the calculation gives 430.8 meV per atom.



(5)
This record from Alexandria describes crystalline CsNaTe3 at its relaxed geometry. The functional is GGA-PBEsol.

Cell: 5.647 5.647 5.647 Å, 90.00 90.00 90.00°
Positions (direct):
Cs (0.500, 0.500, 0.500)
Na (0.000, 0.000, 0.000)
Te (0.000, 0.000, 0.500)
Te (0.500, 0.000, 0.000)
Te (0.000, 0.500, 0.000)

Results
As for the space-group type: Pm-3m (221). For the energy relative to the elements, uncorrected, the calculation gives -105.8 meV per atom.



(6)
This record from Alexandria describes crystalline Ca2ZnAu at its relaxed geometry. The functional is GGA-PBEsol.

Cell: 4.891 4.891 4.891 Å, 60.00 60.00 60.00°
Positions (direct):
Ca (0.750, 0.750, 0.750)
Ca (0.000, 0.000, 0.000)
Zn (0.250, 0.250, 0.250)
Au (0.500, 0.500, 0.500)

Results
As for the space-group type: F-43m (216). As for the formation energy: -0.32 eV/atom.



(7)
This record from Alexandria describes crystalline HfScAg2 at its relaxed geometry. The functional is GGA-PBEsol.

Cell: 4.759 4.759 4.759 Å, 60.00 60.00 60.00°
Positions (direct):
Ag (0.250, 0.250, 0.250)
Ag (0.750, 0.750, 0.750)
Sc (0.000, 0.000, 0.000)
Hf (0.500, 0.500, 0.500)

Results
As for the space-group type: Fm-3m (225). As for the formation energy: -0.09 eV/atom.



(8)
This record from Alexandria describes crystalline Zr5Re at its relaxed geometry. The functional is GGA-PBEsol.

Cell: 3.302 5.715 7.253 Å, 108.94 90.00 106.79°
Positions (direct):
Zr (0.636, 0.271, 0.252)
Zr (0.621, 0.241, 0.798)
Zr (0.309, 0.618, 0.637)
Zr (0.972, 0.944, 0.444)
Zr (0.324, 0.648, 0.091)
Re (0.972, 0.945, 0.945)

Results
As for the space-group type: C2/m (12). As for the formation energy: -0.08 eV/atom.



(9)
This record from Alexandria describes crystalline LaRhW at its relaxed geometry. The functional is GGA-PBEsol.

Cell: 3.042 4.699 4.699 Å, 120.00 90.00 90.00°
Positions (direct):
La (0.000, 0.000, 0.000)
W (0.500, 0.333, 0.667)
Rh (0.500, 0.667, 0.333)

Results
As for the space-group type: P-6m2 (187). As for the formation energy: 0.52 eV/atom. The calculation puts the energy above the lowest structure with this stoichiometry at 81 meV/atom.



(10)
This record from Alexandria describes crystalline LaYMg2 at its relaxed geometry. The functional is GGA-PBEsol.

Cell: 3.814 3.814 7.712 Å, 90.00 90.00 90.00°
Positions (direct):
Y (0.500, 0.500, 0.500)
La (0.500, 0.500, 0.000)
Mg (0.000, 0.000, 0.735)
Mg (0.000, 0.000, 0.265)

Results
As for the space-group type: P4/mmm (123). As for the formation energy: -0.09 eV/atom.



(11)
This record from Alexandria describes crystalline KFeP2S at its relaxed geometry. The functional is GGA-PBEsol.

Cell: 5.001 5.001 5.098 Å, 90.00 90.00 90.00°
Site moments in Bohr magnetons follow the coordinates.
Positions (direct):
P (0.000, 0.500, 0.000)  -0.01
P (0.500, 0.000, 0.000)  -0.01
S (0.000, 0.000, 0.500)  -0.01
K (0.000, 0.000, 0.000)  0.02
Fe (0.500, 0.500, 0.500)  3.45

Results
As for the space-group type: P4/mmm (123). For the energy relative to the elements, uncorrected, the calculation gives 2210.5 meV per atom.



(12)
This record from Alexandria describes crystalline TbMn2SiC at its relaxed geometry. The functional is GGA-PBEsol.

Cell: 3.696 5.525 6.888 Å, 90.00 90.00 109.54°
Site moments in Bohr magnetons follow the coordinates.
Positions (direct):
Mn (0.169, 0.338, 0.063)  1.19
Mn (0.169, 0.338, 0.437)  1.19
Mn (0.831, 0.662, 0.937)  1.19
Mn (0.831, 0.662, 0.563)  1.19
Si (0.265, 0.529, 0.750)  -0.05
Si (0.735, 0.471, 0.250)  -0.05
C (0.000, 0.000, 0.500)  -0.09
C (0.000, 0.000, 0.000)  -0.09
Tb (0.455, 0.911, 0.250)  -0.04
Tb (0.545, 0.089, 0.750)  -0.04

Results
As for the space-group type: Cmcm (63). For the energy relative to the elements, uncorrected, the calculation gives -532.6 meV per atom.



(13)
This record from Alexandria describes crystalline Zn2SbHPb at its relaxed geometry. The functional is GGA-PBEsol.

Cell: 3.766 5.252 5.252 Å, 90.00 90.00 90.00°
Positions (direct):
Zn (0.000, 0.500, 0.000)
Zn (0.000, 0.000, 0.500)
H (0.500, 0.000, 0.000)
Sb (0.500, 0.500, 0.500)
Pb (0.000, 0.000, 0.000)

Results
As for the space-group type: P4/mmm (123). The total energy comes out at -2.473 eV/atom.



(14)
This record from Alexandria describes crystalline SbTe2Ru at its relaxed geometry. The functional is GGA-PBEsol.

Cell: 3.142 3.142 9.428 Å, 90.00 90.00 90.00°
Positions (direct):
Ru (0.000, 0.000, 0.496)
Te (0.000, 0.000, 0.995)
Te (0.500, 0.500, 0.325)
Sb (0.500, 0.500, 0.684)

Results
As for the space-group type: P4mm (99). For the energy relative to the elements, uncorrected, the calculation gives 47.2 meV per atom.



(15)
This record from Alexandria describes crystalline IrOsRu2 at its relaxed geometry. The functional is GGA-PBEsol.

Cell: 2.684 2.684 8.902 Å, 81.33 81.33 60.00°
Positions (direct):
Ru (0.749, 0.749, 0.752)
Ru (0.251, 0.251, 0.248)
Os (0.000, 0.000, 0.000)
Ir (0.500, 0.500, 0.500)

Results
As for the space-group type: R-3m (166). As for the formation energy: 0.05 eV/atom. The calculation puts the energy above the lowest structure with this stoichiometry at 13 meV/atom.



(16)
This record from Alexandria describes crystalline Cd2TcAg at its relaxed geometry. The functional is GGA-PBEsol.

Cell: 4.152 4.152 4.982 Å, 114.63 114.63 90.00°
Site moments in Bohr magnetons follow the coordinates.
Positions (direct):
Ag (0.250, 0.750, 0.500)  0.04
Cd (0.000, 0.000, 0.000)  -0.02
Cd (0.750, 0.250, 0.500)  0.00
Tc (0.500, 0.500, 0.000)  1.54

Results
As for the space-group type: I-4m2 (119). As for the formation energy: 0.48 eV/atom. The calculation puts the energy above the lowest structure with this stoichiometry at 0 meV/atom.



(17)
This record from Alexandria describes crystalline KAgTeI2 at its relaxed geometry. The functional is GGA-PBEsol.

Cell: 6.149 6.238 6.238 Å, 90.00 90.00 90.00°
Site moments in Bohr magnetons follow the coordinates.
Positions (direct):
Te (0.500, 0.000, 0.000)  0.80
I (0.000, 0.500, 0.000)  0.19
I (0.000, 0.000, 0.500)  0.19
Ag (0.500, 0.500, 0.500)  -0.02
K (0.000, 0.000, 0.000)  0.02

Results
As for the space-group type: P4/mmm (123). For the energy relative to the elements, uncorrected, the calculation gives 530.9 meV per atom.



(18)
This record from Alexandria describes crystalline Cs2CdPt at its relaxed geometry. The functional is GGA-PBEsol.

Cell: 5.216 8.960 8.960 Å, 85.14 73.08 73.08°
Positions (direct):
Cs (0.875, 0.343, 0.157)
Cs (0.782, 0.843, 0.343)
Cs (0.968, 0.157, 0.657)
Cs (0.375, 0.657, 0.843)
Cd (0.250, 0.500, 0.500)
Cd (0.500, 0.000, 0.000)
Pt (0.750, 0.500, 0.500)
Pt (0.000, 0.000, 0.000)

Results
As for the space-group type: I-42d (122). As for the formation energy: 0.02 eV/atom.



(19)
This record from Alexandria describes crystalline NdGe5 at its relaxed geometry. The functional is GGA-PBEsol.

Cell: 3.995 6.088 6.088 Å, 61.02 70.85 70.85°
Positions (direct):
Ge (0.669, 0.536, 0.125)
Ge (0.000, 0.500, 0.500)
Ge (0.669, 0.125, 0.536)
Ge (0.331, 0.464, 0.875)
Ge (0.331, 0.875, 0.464)
Nd (0.000, 0.000, 0.000)

Results
As for the space-group type: Immm (71). As for the formation energy: -0.32 eV/atom.



(20)
This record from Alexandria describes crystalline Ga3NiPb at its relaxed geometry. The functional is GGA-PBEsol.

Cell: 4.606 4.606 4.606 Å, 90.00 90.00 90.00°
Positions (direct):
Pb (0.500, 0.500, 0.500)
Ni (0.000, 0.000, 0.000)
Ga (0.500, 0.000, 0.000)
Ga (0.000, 0.000, 0.500)
Ga (0.000, 0.500, 0.000)

Results
As for the space-group type: Pm-3m (221). As for the formation energy: -0.02 eV/atom.